Computed, not measured: a relaxed TmMgInRh crystal at the PBE level of DFT.

Calculated values
- space group = No. 216
- raw total energy (eV per atom) = -4.482

Unit cell a=4.8598 b=4.8598 c=4.8598 alpha=60.00 beta=60.00 gamma=60.00
Fractional coordinates of all 4 atoms:
Tm (0.5000, 0.5000, 0.5000)
In (0.2500, 0.2500, 0.2500)
Mg (0.0000, 0.0000, 0.0000)
Rh (0.7500, 0.7500, 0.7500)

***

Computed, not measured: a relaxed Mg2Zn2InRh5 crystal at the PBE level of DFT.

Calculated values
- space group = No. 127
- raw total energy (eV per atom) = -4.795

Unit cell a=3.8388 b=9.1569 c=9.1569 alpha=90.00 beta=90.00 gamma=90.00
Fractional coordinates of all 20 atoms:
Zn (0.0000, 0.6275, 0.8725)
Mg (0.0000, 0.6679, 0.1679)
Zn (0.0000, 0.1275, 0.6275)
Rh (0.5000, 0.5893, 0.6950)
Rh (0.5000, 0.8050, 0.9107)
Mg (0.0000, 0.3321, 0.8321)
Mg (0.0000, 0.8321, 0.6679)
Rh (0.5000, 0.6950, 0.4107)
Mg (0.0000, 0.1679, 0.3321)
Rh (0.5000, 0.1950, 0.0893)
Rh (0.5000, 0.0000, 0.5000)
Rh (0.5000, 0.4107, 0.3050)
Rh (0.5000, 0.0893, 0.8050)
In (0.0000, 0.0000, 0.0000)
Rh (0.5000, 0.5000, 0.0000)
Zn (0.0000, 0.3725, 0.1275)
Zn (0.0000, 0.8725, 0.3725)
Rh (0.5000, 0.3050, 0.5893)
In (0.0000, 0.5000, 0.5000)
Rh (0.5000, 0.9107, 0.1950)

***

Computed, not measured: a relaxed MgInRu3 crystal at the PBE level of DFT.

Calculated values
- space group = No. 221
- raw total energy (eV per atom) = -5.019
- ΔE to the lowest computed polymorph (meV per atom) = 0

Unit cell a=4.5163 b=4.5163 c=4.5163 alpha=90.00 beta=90.00 gamma=90.00
Last column: magnetic moment on the atom in μB.
Fractional coordinates of all 5 atoms:
Ru (0.5000, 0.0000, 0.0000)  0.79
Mg (0.0000, 0.0000, 0.0000)  -0.01
Ru (0.0000, 0.5000, 0.0000)  0.97
In (0.5000, 0.5000, 0.5000)  -0.03
Ru (0.0000, 0.0000, 0.5000)  1.06

***

Computed, not measured: a relaxed MgInRu2 crystal at the PBE level of DFT.

Calculated values
- space group = No. 47
- raw total energy (eV per atom) = -5.508

Unit cell a=3.1697 b=4.7229 c=4.3840 alpha=90.00 beta=90.00 gamma=90.00
Last column: magnetic moment on the atom in μB.
Fractional coordinates of all 4 atoms:
Mg (0.0000, 0.5000, 0.5000)  -0.01
Ru (0.0000, 0.0000, 0.0000)  0.38
In (0.5000, 0.0000, 0.5000)  -0.01
Ru (0.5000, 0.5000, 0.0000)  0.51

***

Computed, not measured: a relaxed MgInRu2 crystal at the PBE level of DFT.

Calculated values
- space group = No. 99
- raw total energy (eV per atom) = -5.710

Unit cell a=2.9048 b=2.9048 c=8.2261 alpha=90.00 beta=90.00 gamma=90.00
Fractional coordinates of all 4 atoms:
Mg (0.5000, 0.5000, 0.7911)
Ru (0.0000, 0.0000, 0.0239)
In (0.0000, 0.0000, 0.4688)
Ru (0.5000, 0.5000, 0.2162)

***

Computed, not measured: a relaxed MgInRu2 crystal at the PBE level of DFT.

Calculated values
- space group = No. 160
- raw total energy (eV per atom) = -5.513

Unit cell a=9.3470 b=9.3470 c=9.3470 alpha=18.09 beta=18.09 gamma=18.09
Fractional coordinates of all 4 atoms:
In (0.5061, 0.5061, 0.5061)
Ru (0.9951, 0.9951, 0.9951)
Mg (0.7415, 0.7415, 0.7415)
Ru (0.2573, 0.2573, 0.2573)

***

Computed, not measured: a relaxed Mg12In6Ru crystal at the PBE level of DFT.

Calculated values
- space group = No. 148
- raw total energy (eV per atom) = -2.417

Unit cell a=7.5103 b=7.5103 c=7.5103 alpha=90.42 beta=90.42 gamma=90.42
Fractional coordinates of all 19 atoms:
Mg (0.5537, 0.2029, 0.4689)
In (0.8874, 0.2615, 0.7209)
Mg (0.8615, 0.6450, 0.9649)
Mg (0.6450, 0.9649, 0.8615)
Mg (0.3550, 0.0351, 0.1385)
Mg (0.9649, 0.8615, 0.6450)
Mg (0.4463, 0.7971, 0.5311)
In (0.7385, 0.2791, 0.1126)
In (0.1126, 0.7385, 0.2791)
Mg (0.5311, 0.4463, 0.7971)
Mg (0.1385, 0.3550, 0.0351)
Mg (0.7971, 0.5311, 0.4463)
Mg (0.2029, 0.4689, 0.5537)
Ru (0.0000, 0.0000, 0.0000)
In (0.2791, 0.1126, 0.7385)
Mg (0.4689, 0.5537, 0.2029)
In (0.7209, 0.8874, 0.2615)
Mg (0.0351, 0.1385, 0.3550)
In (0.2615, 0.7209, 0.8874)

***

Computed, not measured: a relaxed MgInRu2 crystal at the PBE level of DFT.

Calculated values
- space group = No. 25
- raw total energy (eV per atom) = -5.605

Unit cell a=2.9534 b=3.6600 c=6.2221 alpha=90.00 beta=90.00 gamma=90.00
Fractional coordinates of all 4 atoms:
Ru (0.0000, 0.0000, 0.0178)
Mg (0.5000, 0.5000, 0.7809)
Ru (0.5000, 0.5000, 0.2197)
In (0.0000, 0.0000, 0.4816)

***

| no. | E_form (eV/atom) | total magnetization (Bohr magnetons per cell) |
| --- | --- | --- |
| 1 | -0.44 | 0.00 |
| 2 | -0.27 | 0.00 |
| 3 | 1.41 | 2.94 |
| 4 | 0.21 | 0.88 |
| 5 | 0.01 | 0.00 |
| 6 | 0.21 | 0.00 |
| 7 | -0.06 | 0.00 |
| 8 | 0.12 | 0.00 |